DFT (PBE) results for an optimized crystal structure of MnHgPt3.

Calculated values
- Crystal system: cubic
- Calculated formation energy: 2032 meV per atom
- Electronic total energy: -3.4864 eV per atom

Cell lengths 4.9702, 4.9702, 4.9702 Å; angles 90.00, 90.00, 90.00 degrees
With the nearest neighbours (Å) after each atom.
Space group Pm-3m (No. 221)
One atom of each set of equivalent atoms:
1 Mn 0.0000 0.0000 0.0000 x1  12 Pt 3.51
2 Hg 0.5000 0.5000 0.5000 x1  6 Pt 2.49
3 Pt 0.0000 0.5000 0.5000 x3  2 Hg 2.49

---

DFT (PBE) results for an optimized crystal structure of MnHgPt2.

Calculated values
- Crystal system: cubic
- Calculated formation energy: -19 meV per atom
- Electronic total energy: -5.4073 eV per atom

Cell lengths 6.4551, 6.4551, 6.4551 Å; angles 90.00, 90.00, 90.00 degrees
With the nearest neighbours (Å) after each atom.
Space group F-43m (No. 216)
One atom of each set of equivalent atoms:
1 Mn 0.0000 0.0000 0.0000 x4  4 Pt 2.80, 4 Hg 2.80
2 Hg 0.2500 0.2500 0.2500 x4  4 Mn 2.80, 4 Pt 2.80
3 Pt 0.0000 0.0000 0.5000 x4  4 Hg 2.80, 4 Pt 2.80
4 Pt 0.2500 0.2500 0.7500 x4  4 Mn 2.80, 4 Pt 2.80

---

DFT (PBE) results for an optimized crystal structure of Mn2HgPt.

Calculated values
- Crystal system: monoclinic
- Calculated formation energy: 159 meV per atom
- Electronic total energy: -6.0114 eV per atom

Cell lengths 4.7119, 2.9608, 5.1972 Å; angles 90.00, 112.17, 90.00 degrees
With the nearest neighbours (Å) after each atom.
Space group P2/m (No. 10)
One atom of each set of equivalent atoms:
1 Mn 0.0000 0.0000 0.0000 x1  2 Hg 2.77, 4 Pt 2.78, 6 Mn 2.96-2.99
2 Mn 0.0000 0.5000 0.5000 x1  2 Pt 2.77, 4 Hg 2.78, 6 Mn 2.96-2.99
3 Hg 0.5000 0.0000 0.5000 x1  6 Mn 2.77-2.78, 2 Hg 2.96, 4 Pt 2.99
4 Pt 0.5000 0.5000 0.0000 x1  6 Mn 2.77-2.78, 2 Pt 2.96, 4 Hg 2.99

---

DFT (PBE) results for an optimized crystal structure of MnHg2Pt.

Calculated values
- Crystal system: orthorhombic
- Calculated formation energy: 205 meV per atom
- Electronic total energy: -3.7481 eV per atom

Cell lengths 5.8646, 8.2795, 3.0162 Å; angles 90.00, 90.00, 90.00 degrees
With the nearest neighbours (Å) after each atom.
Space group Cmmm (No. 65)
One atom of each set of equivalent atoms:
1 Mn 0.0000 0.0000 0.0000 x2  2 Pt 2.93, 8 Hg 2.95, 2 Mn 3.02
2 Hg 0.2500 0.2500 0.5000 x4  4 Hg 2.93-3.02, 4 Mn 2.95, 4 Pt 2.95
3 Pt 0.0000 0.5000 0.0000 x2  2 Mn 2.93, 8 Hg 2.95, 2 Pt 3.02

---

DFT (PBE) results for an optimized crystal structure of MnHg3Pt.

Calculated values
- Crystal system: cubic
- Calculated formation energy: 523 meV per atom
- Electronic total energy: -2.7004 eV per atom

Cell lengths 5.2579, 5.2579, 5.2579 Å; angles 90.00, 90.00, 90.00 degrees
With the nearest neighbours (Å) after each atom.
Space group Pm-3m (No. 221)
One atom of each set of equivalent atoms:
1 Mn 0.0000 0.0000 0.0000 x1  12 Hg 3.72
2 Hg 0.0000 0.5000 0.5000 x3  2 Pt 2.63
3 Pt 0.5000 0.5000 0.5000 x1  6 Hg 2.63

---

DFT (PBE) results for an optimized crystal structure of MnHgPt6.

Calculated values
- Crystal system: tetragonal
- Calculated formation energy: -160 meV per atom
- Electronic total energy: -5.8749 eV per atom

Cell lengths 3.9876, 3.9876, 8.0489 Å; angles 90.00, 90.00, 90.00 degrees
With the nearest neighbours (Å) after each atom.
Space group P4/mmm (No. 123)
One atom of each set of equivalent atoms:
1 Mn 0.0000 0.0000 0.0000 x1  12 Pt 2.75-2.82
2 Hg 0.0000 0.0000 0.5000 x1  12 Pt 2.82-2.91
3 Pt 0.0000 0.5000 0.2361 x4  8 Pt 2.75-2.91, 2 Mn 2.75, 2 Hg 2.91
4 Pt 0.5000 0.5000 0.0000 x1  8 Pt 2.75, 4 Mn 2.82
5 Pt 0.5000 0.5000 0.5000 x1  4 Hg 2.82, 8 Pt 2.91

---

DFT (PBE) results for an optimized crystal structure of Mn2HgPt.

Calculated values
- Crystal system: tetragonal
- Calculated formation energy: 112 meV per atom
- Electronic total energy: -6.0583 eV per atom

Cell lengths 3.0053, 3.0053, 7.0966 Å; angles 90.00, 90.00, 90.00 degrees
With the nearest neighbours (Å) after each atom.
Space group P4mm (No. 99)
One atom of each set of equivalent atoms:
1 Mn 0.0000 0.0000 0.0000 x1  4 Mn 2.65, 4 Hg 2.84
2 Mn 0.5000 0.5000 0.2239 x1  4 Pt 2.62, 4 Mn 2.65
3 Hg 0.5000 0.5000 0.7337 x1  4 Mn 2.84, 4 Pt 2.98, 4 Hg 3.01
4 Pt 0.0000 0.0000 0.4391 x1  4 Mn 2.62

---

DFT (PBE) results for an optimized crystal structure of MnHgPt2.

Calculated values
- Crystal system: tetragonal
- Calculated formation energy: -21 meV per atom
- Electronic total energy: -5.4095 eV per atom

Cell lengths 2.9168, 2.9168, 7.8766 Å; angles 90.00, 90.00, 90.00 degrees
With the nearest neighbours (Å) after each atom.
Space group P4mm (No. 99)
One atom of each set of equivalent atoms:
1 Mn 0.0000 0.0000 0.0000 x1  4 Pt 2.66, 4 Mn 2.92, 4 Hg 2.96
2 Hg 0.5000 0.5000 0.7308 x1  4 Hg 2.92, 4 Pt 2.94, 4 Mn 2.96
3 Pt 0.0000 0.0000 0.4650 x1  8 Pt 2.86-2.92, 4 Hg 2.94
4 Pt 0.5000 0.5000 0.2130 x1  4 Mn 2.66, 8 Pt 2.86-2.92

---

DFT (PBE) results for an optimized crystal structure of MnHg2Pt.

Calculated values
- Crystal system: tetragonal
- Calculated formation energy: 192 meV per atom
- Electronic total energy: -3.7612 eV per atom

Cell lengths 3.0343, 3.0343, 7.8385 Å; angles 90.00, 90.00, 90.00 degrees
With the nearest neighbours (Å) after each atom.
Space group P4/mmm (No. 123)
One atom of each set of equivalent atoms:
1 Mn 0.0000 0.0000 0.0000 x1  8 Hg 2.89, 4 Mn 3.03
2 Hg 0.5000 0.5000 0.2469 x2  4 Mn 2.89, 4 Pt 2.92, 4 Hg 3.03
3 Pt 0.0000 0.0000 0.5000 x1  8 Hg 2.92, 4 Pt 3.03

---

DFT (PBE) results for an optimized crystal structure of Mn2HgPt.

Calculated values
- Crystal system: trigonal
- Calculated formation energy: 204 meV per atom
- Electronic total energy: -5.9666 eV per atom

Cell lengths 2.9062, 2.9062, 27.2300 Å; angles 90.00, 90.00, 120.00 degrees
With the nearest neighbours (Å) after each atom.
Space group R3m (No. 160, hexagonal axes)
One atom of each set of equivalent atoms:
1 Mn 0.0000 0.0000 0.0000 x3  3 Pt 2.68, 9 Mn 2.68-2.91
2 Mn 0.0000 0.0000 0.2565 x3  9 Mn 2.68-2.91, 3 Hg 2.92
3 Hg 0.0000 0.0000 0.5019 x3  6 Hg 2.91, 3 Mn 2.92, 3 Pt 3.01
4 Pt 0.0000 0.0000 0.7434 x3  3 Mn 2.68, 6 Pt 2.91

---

DFT (PBE) results for an optimized crystal structure of MnHgPt2.

Calculated values
- Crystal system: monoclinic
- Calculated formation energy: -70 meV per atom
- Electronic total energy: -5.4578 eV per atom

Cell lengths 9.5037, 2.9858, 4.8331 Å; angles 90.00, 101.88, 90.00 degrees
With the nearest neighbours (Å) after each atom.
Space group Cm (No. 8)
One atom of each set of equivalent atoms:
1 Mn 0.0000 0.0000 0.0000 x2  7 Pt 2.72-2.92, 3 Hg 2.92-2.97, 2 Mn 2.99
2 Hg 0.2582 0.5000 0.2892 x2  7 Pt 2.80-2.87, 3 Mn 2.92-2.97, 2 Hg 2.99
3 Pt 0.0124 0.5000 0.5246 x2  4 Mn 2.76-2.92, 3 Hg 2.80-2.87, 5 Pt 2.88-2.99
4 Pt 0.2615 0.0000 0.7966 x2  3 Mn 2.72-2.85, 4 Hg 2.82-2.87, 5 Pt 2.88-2.99

---

DFT (PBE) results for an optimized crystal structure of Mn4HgPt5.

Calculated values
- Crystal system: tetragonal
- Calculated formation energy: -293 meV per atom
- Electronic total energy: -7.0117 eV per atom

Cell lengths 2.9220, 2.9220, 18.3787 Å; angles 90.00, 90.00, 90.00 degrees
With the nearest neighbours (Å) after each atom.
Space group P4/mmm (No. 123)
One atom of each set of equivalent atoms:
1 Mn 0.0000 0.0000 0.0965 x2  8 Pt 2.72, 4 Mn 2.92
2 Mn 0.0000 0.0000 0.2900 x2  8 Pt 2.67-2.73, 4 Mn 2.92
3 Hg 0.0000 0.0000 0.5000 x1  4 Hg 2.92, 8 Pt 2.99
4 Pt 0.5000 0.5000 0.0000 x1  8 Mn 2.72, 4 Pt 2.92
5 Pt 0.5000 0.5000 0.1927 x2  8 Mn 2.72-2.73, 4 Pt 2.92
6 Pt 0.5000 0.5000 0.3821 x2  4 Mn 2.67, 4 Pt 2.92

---

DFT (PBE) results for an optimized crystal structure of MnHg2Pt.

Calculated values
- Crystal system: orthorhombic
- Calculated formation energy: 120 meV per atom
- Electronic total energy: -3.8338 eV per atom

Cell lengths 3.8720, 4.4155, 8.6573 Å; angles 90.00, 90.00, 90.00 degrees
With the nearest neighbours (Å) after each atom.
Space group Imm2 (No. 44)
One atom of each set of equivalent atoms:
1 Mn 0.0000 0.0000 0.0000 x2  2 Pt 2.70, 6 Hg 2.94
2 Hg 0.0000 0.0000 0.4789 x2  4 Mn 2.94, 4 Pt 2.98-3.02, 4 Hg 3.00
3 Hg 0.0000 0.5000 0.2444 x2  4 Mn 2.94-3.06, 4 Pt 2.95, 4 Hg 3.00
4 Pt 0.0000 0.5000 0.7167 x2  2 Mn 2.70, 8 Hg 2.95-3.02

---

DFT (PBE) results for an optimized crystal structure of MnHg2Pt.

Calculated values
- Crystal system: monoclinic
- Calculated formation energy: 127 meV per atom
- Electronic total energy: -3.8264 eV per atom

Cell lengths 9.4388, 3.2340, 4.9779 Å; angles 90.00, 102.58, 90.00 degrees
With the nearest neighbours (Å) after each atom.
Space group C2/m (No. 12)
One atom of each set of equivalent atoms:
1 Mn 0.0000 0.0000 0.0000 x2  6 Hg 2.90, 4 Pt 2.97, 2 Mn 3.23
2 Hg 0.2487 0.5000 0.2484 x4  3 Pt 2.89-2.92, 3 Mn 2.90, 6 Hg 2.96-3.23
3 Pt 0.0000 0.5000 0.5000 x2  6 Hg 2.89-2.92, 4 Mn 2.97, 2 Pt 3.23